This record from Alexandria via LeMat-Bulk describes an optimized crystal structure of BeCdSbI2. The functional is PBE.

symmetry	P4/mmm
uncorrected formation energy	850	meV/atom
energy relative to the lowest polymorph listed for this composition	535	meV per atom

Cell: 5.8791 5.8791 5.7444 Å, 90.00 90.00 90.00°
Last column: nearest neighbours and their distance in Å.
Fractional coordinates of all 5 atoms:
I 0.0000 0.5000 0.0000  2 Cd 2.94
I 0.5000 0.0000 0.0000  2 Cd 2.94
Sb 0.0000 0.0000 0.5000  2 Cd 2.87
Be 0.5000 0.5000 0.5000  8 I 4.11, 4 Sb 4.16
Cd 0.0000 0.0000 0.0000  2 Sb 2.87, 4 I 2.94

=====

This record from Alexandria via LeMat-Bulk describes an optimized crystal structure of BeCdSb2I. The functional is PBE.

symmetry	P4/mmm
uncorrected formation energy	465	meV/atom
energy relative to the lowest polymorph listed for this composition	0	meV per atom

Cell: 4.8854 4.8854 5.7430 Å, 90.00 90.00 90.00°
Last column: nearest neighbours and their distance in Å.
Fractional coordinates of all 5 atoms:
I 0.0000 0.0000 0.5000  2 Be 2.87
Sb 0.0000 0.5000 0.0000  2 Be 2.44
Sb 0.5000 0.0000 0.0000  2 Be 2.44
Be 0.0000 0.0000 0.0000  4 Sb 2.44
Cd 0.5000 0.5000 0.5000  4 I 3.45, 8 Sb 3.77

=====

This record from Alexandria via LeMat-Bulk describes an optimized crystal structure of BeCdSb2I. The functional is PBE.

symmetry	P4/mmm
uncorrected formation energy	1143	meV/atom
energy relative to the lowest polymorph listed for this composition	678	meV per atom

Cell: 5.5670 5.5670 5.9183 Å, 90.00 90.00 90.00°
Last column: nearest neighbours and their distance in Å.
Fractional coordinates of all 5 atoms:
I 0.0000 0.0000 0.5000  2 Cd 2.96
Sb 0.0000 0.5000 0.0000  2 Cd 2.78
Sb 0.5000 0.0000 0.0000  2 Cd 2.78
Be 0.5000 0.5000 0.5000  4 I 3.94, 8 Sb 4.06
Cd 0.0000 0.0000 0.0000  4 Sb 2.78, 2 I 2.96

=====

This record from Alexandria via LeMat-Bulk describes an optimized crystal structure of BeCdTeI2. The functional is PBE.

symmetry	P4/mmm
uncorrected formation energy	187	meV/atom
energy relative to the lowest polymorph listed for this composition	0	meV per atom

Cell: 5.2001 5.2001 5.3718 Å, 90.00 90.00 90.00°
Last column: nearest neighbours and their distance in Å.
Fractional coordinates of all 5 atoms:
I 0.0000 0.5000 0.0000  2 Be 2.60
I 0.5000 0.0000 0.0000  2 Be 2.60
Be 0.0000 0.0000 0.0000  4 I 2.60, 2 Te 2.69
Te 0.0000 0.0000 0.5000  2 Be 2.69
Cd 0.5000 0.5000 0.5000  4 Te 3.68, 8 I 3.74

=====

This record from Alexandria via LeMat-Bulk describes an optimized crystal structure of BeCdTeI2. The functional is PBE.

symmetry	P4/mmm
uncorrected formation energy	728	meV/atom
energy relative to the lowest polymorph listed for this composition	542	meV per atom

Cell: 5.8458 5.8458 5.7172 Å, 90.00 90.00 90.00°
Last column: nearest neighbours and their distance in Å.
Fractional coordinates of all 5 atoms:
I 0.0000 0.5000 0.0000  2 Cd 2.92
I 0.5000 0.0000 0.0000  2 Cd 2.92
Be 0.5000 0.5000 0.5000  8 I 4.09, 4 Te 4.13
Te 0.0000 0.0000 0.5000  2 Cd 2.86
Cd 0.0000 0.0000 0.0000  2 Te 2.86, 4 I 2.92

=====

This record from Alexandria via LeMat-Bulk describes an optimized crystal structure of Ti2BeCdI. The functional is PBE.

symmetry	P4/mmm
uncorrected formation energy	507	meV/atom

Cell: 4.7751 4.5010 4.7751 Å, 90.00 90.00 90.00°
Last column: nearest neighbours and their distance in Å.
Fractional coordinates of all 5 atoms:
I 0.5000 0.5000 0.5000  8 Ti 3.28, 4 Cd 3.38
Be 0.0000 0.0000 0.0000  2 Cd 2.25, 4 Ti 2.39
Ti 0.0000 0.0000 0.5000  2 Be 2.39
Ti 0.5000 0.0000 0.0000  2 Be 2.39
Cd 0.0000 0.5000 0.0000  2 Be 2.25

=====

This record from Alexandria via LeMat-Bulk describes an optimized crystal structure of Be2ZnCdI. The functional is PBE.

symmetry	P4/mmm
uncorrected formation energy	737	meV/atom

Cell: 4.4091 6.2992 4.4091 Å, 90.00 90.00 90.00°
Last column: nearest neighbours and their distance in Å.
Fractional coordinates of all 5 atoms:
I 0.0000 0.5000 0.0000  4 Cd 3.12, 2 Zn 3.15
Be 0.0000 0.0000 0.5000  2 Zn 2.20
Be 0.5000 0.0000 0.0000  2 Zn 2.20
Zn 0.0000 0.0000 0.0000  4 Be 2.20
Cd 0.5000 0.5000 0.5000  4 I 3.12

=====

This record from Alexandria via LeMat-Bulk describes an optimized crystal structure of BeCdIn4. The functional is PBE.

symmetry	F-43m
formation enthalpy at 0 K	0.57	eV/atom

Cell: 6.1146 6.1146 6.1146 Å, 60.00 60.00 60.00°
Last column: nearest neighbours and their distance in Å.
Fractional coordinates of all 6 atoms:
Be 0.7500 0.7500 0.7500  12 In 3.58, 4 Cd 3.74
Cd 0.0000 0.0000 0.0000  12 In 3.59, 4 Be 3.74
In 0.3753 0.8742 0.3753  6 In 3.05-3.06
In 0.8742 0.3753 0.3753  6 In 3.05-3.06
In 0.3753 0.3753 0.8742  6 In 3.05-3.06
In 0.3753 0.3753 0.3753  6 In 3.05-3.06

=====

This record from Alexandria via LeMat-Bulk describes an optimized crystal structure of Be2CdIn. The functional is PBE.

symmetry	Imm2
energy relative to the lowest polymorph listed for this composition	58	meV per atom
formation enthalpy at 0 K	0.44	eV/atom

Cell: 6.3329 6.3329 6.3329 Å, 154.64 141.30 46.83°
Last column: nearest neighbours and their distance in Å.
Fractional coordinates of all 4 atoms:
Be 0.9741 0.9741 0.0000  2 Be 2.28, 4 Cd 2.53
Be 0.8182 0.3182 0.5000  2 Be 2.28
Cd 0.4956 0.4956 0.0000  4 Be 2.53, 2 Cd 2.78
In 0.2121 0.7121 0.5000  2 In 2.78, 6 Be 2.80-3.10

=====

This record from Alexandria via LeMat-Bulk describes an optimized crystal structure of Be2CdIn. The functional is PBE.

symmetry	I-4m2
energy relative to the lowest polymorph listed for this composition	211	meV per atom
formation enthalpy at 0 K	0.60	eV/atom

Cell: 5.0078 5.0078 5.0078 Å, 133.14 133.14 68.43°
Last column: nearest neighbours and their distance in Å.
Fractional coordinates of all 4 atoms:
Be 0.0000 0.0000 0.0000  4 Cd 2.82, 4 In 2.87, 4 Be 2.87
Be 0.2500 0.7500 0.5000  4 In 2.82, 4 Cd 2.87, 4 Be 2.87
Cd 0.5000 0.5000 0.0000  8 Be 2.82-2.87, 4 In 2.87
In 0.7500 0.2500 0.5000  8 Be 2.82-2.87, 4 Cd 2.87

=====

This record from Alexandria via LeMat-Bulk describes an optimized crystal structure of Be2CdIn. The functional is PBE.

symmetry	C2/m
energy relative to the lowest polymorph listed for this composition	224	meV per atom
formation enthalpy at 0 K	0.61	eV/atom

Cell: 5.0334 5.4396 3.3894 Å, 65.90 102.08 121.86°
Last column: nearest neighbours and their distance in Å.
Fractional coordinates of all 4 atoms:
Be 0.0000 0.0000 0.0000  2 Cd 2.55, 2 In 2.55, 2 Be 2.72
Be 0.5000 0.0000 0.5000  2 In 2.55, 2 Cd 2.55, 2 Be 2.72
Cd 0.0000 0.5000 0.5000  4 Be 2.55, 2 In 2.72
In 0.5000 0.5000 0.0000  4 Be 2.55, 2 Cd 2.72

=====

This record from Alexandria via LeMat-Bulk describes an optimized crystal structure of BeCd2In. The functional is PBE.

symmetry	I-42d
energy relative to the lowest polymorph listed for this composition	108	meV per atom
formation enthalpy at 0 K	0.34	eV/atom

Cell: 8.7470 8.7470 6.6241 Å, 48.68 48.68 90.00°
Last column: nearest neighbours and their distance in Å.
Fractional coordinates of all 8 atoms:
Be 0.5000 0.5000 0.0000  2 In 2.37, 4 Cd 2.59
Be 0.2500 0.7500 0.5000  2 In 2.37, 4 Cd 2.59
Cd 0.5181 0.1250 0.2500  2 Be 2.59
Cd 0.2319 0.6250 0.2500  2 Be 2.59
Cd 0.3750 0.4819 0.7500  2 Be 2.59
Cd 0.8750 0.7681 0.7500  2 Be 2.59
In 0.0000 0.0000 0.0000  2 Be 2.37
In 0.7500 0.2500 0.5000  2 Be 2.37

=====

Number 1: Fermi-level density of states 2.81 states/eV per cell. Number 2: Fermi-level density of states 4.43 states/eV per cell. Number 3: Fermi-level density of states 5.39 states/eV per cell. Number 4: Fermi-level density of states 3.27 states/eV per cell. Number 5: Fermi-level density of states 6.48 states/eV per cell. Number 6: Fermi-level density of states 6.43 states/eV per cell. Number 7: Fermi-level density of states 2.18 states/eV per cell. Number 8: Fermi-level density of states 3.33 states/eV per cell. Number 9: Fermi-level density of states 0.82 states/eV per cell. Number 10: Fermi-level density of states 1.51 states/eV per cell. Number 11: Fermi-level density of states 1.03 states/eV per cell. Number 12: Fermi-level density of states 3.09 states/eV per cell.